A relaxed PuCuSbPd crystal, computed with PBE.

Its magnetization is 5.35 μB/f.u. The total energy is -7.2780 eV per atom. Its formation energy from raw total energies is -0.34 eV/atom.

The space group is F-43m (No. 216) and the conventional cell measures 6.8099, 6.8099 and 6.8099 Å, with angles of 90.00, 90.00 and 90.00 degrees. The inequivalent atoms are Pu at (0.0000, 0.0000, 0.0000), Cu at (0.2500, 0.2500, 0.2500), Sb at (0.0000, 0.0000, 0.5000) and Pd at (0.2500, 0.2500, 0.7500).

---

A relaxed PuScCuPd crystal, computed with PBE.

Its magnetization is 5.60 μB/f.u. The total energy is -7.7668 eV per atom. The value obtained for the energy of formation is -0.279 eV/atom.

The space group is F-43m (No. 216) and the conventional cell measures 6.8305, 6.8305 and 6.8305 Å, with angles of 90.00, 90.00 and 90.00 degrees. The inequivalent atoms are Pu at (0.0000, 0.0000, 0.0000), Sc at (0.0000, 0.0000, 0.5000), Cu at (0.2500, 0.2500, 0.7500) and Pd at (0.2500, 0.2500, 0.2500).

---

A relaxed Pu2CuSi4Pd3 crystal, computed with PBE.

Its magnetization is 10.55 μB/f.u. The total energy is -7.5963 eV per atom. Its formation energy from raw total energies is -0.59 eV/atom.

The space group is P-4m2 (No. 115) and the conventional cell measures 4.1798, 4.1798 and 9.9505 Å, with angles of 90.00, 90.00 and 90.00 degrees. The inequivalent atoms are Pu at (0.0000, 0.5000, 0.2484), Cu at (0.5000, 0.5000, 0.0000), Si at (0.0000, 0.0000, 0.5000), Si at (0.0000, 0.5000, 0.8673), Si at (0.5000, 0.5000, 0.5000), Pd at (0.0000, 0.0000, 0.0000) and Pd at (0.0000, 0.5000, 0.6243).

---

A relaxed SmPuCuPd crystal, computed with PBE.

Its magnetization is 5.76 μB/f.u. The total energy is -7.3618 eV per atom. The value obtained for the energy of formation is -0.277 eV/atom.

The space group is F-43m (No. 216) and the conventional cell measures 7.0842, 7.0842 and 7.0842 Å, with angles of 90.00, 90.00 and 90.00 degrees. The inequivalent atoms are Sm at (0.0000, 0.0000, 0.0000), Pu at (0.0000, 0.0000, 0.5000), Cu at (0.2500, 0.2500, 0.2500) and Pd at (0.2500, 0.2500, 0.7500).

---

A relaxed PuCuSnPd crystal, computed with PBE.

Its magnetization is 5.27 μB/f.u. The total energy is -7.0361 eV per atom. The value obtained for the energy of formation is -0.130 eV/atom.

The space group is F-43m (No. 216) and the conventional cell measures 6.8417, 6.8417 and 6.8417 Å, with angles of 90.00, 90.00 and 90.00 degrees. The inequivalent atoms are Pu at (0.0000, 0.0000, 0.0000), Cu at (0.2500, 0.2500, 0.2500), Sn at (0.2500, 0.2500, 0.7500) and Pd at (0.0000, 0.0000, 0.5000).

---

A relaxed PuTlCuPd crystal, computed with PBE.

Its magnetization is 5.50 μB/f.u. The total energy is -6.5790 eV per atom. The value obtained for the energy of formation is -0.082 eV/atom.

The space group is F-43m (No. 216) and the conventional cell measures 6.8908, 6.8908 and 6.8908 Å, with angles of 90.00, 90.00 and 90.00 degrees. The inequivalent atoms are Pu at (0.0000, 0.0000, 0.0000), Tl at (0.0000, 0.0000, 0.5000), Cu at (0.2500, 0.2500, 0.2500) and Pd at (0.2500, 0.2500, 0.7500).

---

A relaxed TmPuCuPd crystal, computed with PBE.

Its magnetization is 5.61 μB/f.u. The total energy is -7.3526 eV per atom. The value obtained for the energy of formation is -0.329 eV/atom.

The space group is F-43m (No. 216) and the conventional cell measures 6.9695, 6.9695 and 6.9695 Å, with angles of 90.00, 90.00 and 90.00 degrees. The inequivalent atoms are Tm at (0.0000, 0.0000, 0.0000), Pu at (0.0000, 0.0000, 0.5000), Cu at (0.2500, 0.2500, 0.2500) and Pd at (0.2500, 0.2500, 0.7500).

---

A relaxed RbCuPd2 crystal, computed with PBE.

Its magnetization is 0.00 μB/f.u. The value obtained for the energy above the lowest structure with this stoichiometry is 0.69 eV/f.u. The total energy is -3.3163 eV per atom. The value obtained for the energy of formation is 0.546 eV/atom.

The space group is Fm-3m (No. 225) and the conventional cell measures 6.7838, 6.7838 and 6.7838 Å, with angles of 90.00, 90.00 and 90.00 degrees. The inequivalent atoms are Rb at (0.0000, 0.0000, 0.0000), Cu at (0.0000, 0.0000, 0.5000) and Pd at (0.2500, 0.2500, 0.2500).

---

A relaxed Rb2CuPd crystal, computed with PBE.

Its magnetization is 0.00 μB/f.u. The value obtained for the energy above the lowest structure with this stoichiometry is 0.00 eV/f.u. The total energy is -2.5444 eV per atom. The value obtained for the energy of formation is 0.262 eV/atom.

The space group is I-42d (No. 122) and the conventional cell measures 12.0232, 12.0232 and 4.9414 Å, with angles of 90.00, 90.00 and 90.00 degrees. The inequivalent atoms are Rb at (0.0759, 0.2500, 0.1250), Cu at (0.0000, 0.0000, 0.5000) and Pd at (0.0000, 0.0000, 0.0000).

---

A relaxed Rb2CuPd2 crystal, computed with PBE.

Its magnetization is 0.00 μB/f.u. The total energy is -3.0732 eV per atom. The value obtained for the energy of formation is 0.210 eV/atom.

The space group is P4/mbm (No. 127) and the conventional cell measures 6.7796, 6.7796 and 5.5230 Å, with angles of 90.00, 90.00 and 90.00 degrees. The inequivalent atoms are Rb at (0.1799, 0.3201, 0.0000), Cu at (0.0000, 0.0000, 0.5000) and Pd at (0.1416, 0.6416, 0.5000).

---

A relaxed RbCu2Pd2 crystal, computed with PBE.

Its magnetization is 0.00 μB/f.u. The value obtained for the energy above the lowest structure with this stoichiometry is 0.02 eV/f.u. The total energy is -3.7214 eV per atom. The value obtained for the energy of formation is 0.188 eV/atom.

The space group is P4/mbm (No. 127) and the conventional cell measures 8.0030, 8.0030 and 2.8220 Å, with angles of 90.00, 90.00 and 90.00 degrees. The inequivalent atoms are Rb at (0.0000, 0.0000, 0.0000), Cu at (0.1190, 0.3810, 0.0000) and Pd at (0.1651, 0.6651, 0.5000).

---

A relaxed RbCu2Pd2 crystal, computed with PBE.

Its magnetization is 0.00 μB/f.u. The value obtained for the energy above the lowest structure with this stoichiometry is 0.37 eV/f.u. The total energy is -3.6498 eV per atom. The value obtained for the energy of formation is 0.259 eV/atom.

The space group is I4/mmm (No. 139) and the conventional cell measures 4.3621, 4.3621 and 10.8413 Å, with angles of 90.00, 90.00 and 90.00 degrees. The inequivalent atoms are Rb at (0.0000, 0.0000, 0.0000), Cu at (0.0000, 0.5000, 0.2500) and Pd at (0.0000, 0.0000, 0.3718).

---

A relaxed Rb2CuPd crystal, computed with PBE.

Its magnetization is 0.00 μB/f.u. The value obtained for the energy above the lowest structure with this stoichiometry is 1.06 eV/f.u. The total energy is -2.2792 eV per atom. The value obtained for the energy of formation is 0.527 eV/atom.

The space group is Fm-3m (No. 225) and the conventional cell measures 8.1723, 8.1723 and 8.1723 Å, with angles of 90.00, 90.00 and 90.00 degrees. The inequivalent atoms are Rb at (0.2500, 0.2500, 0.2500), Cu at (0.0000, 0.0000, 0.0000) and Pd at (0.0000, 0.0000, 0.5000).

---

A relaxed Rb2Cu2Pd crystal, computed with PBE.

Its magnetization is 0.00 μB/f.u. The value obtained for the energy above the lowest structure with this stoichiometry is 0.00 eV/f.u. The total energy is -2.7265 eV per atom. The value obtained for the energy of formation is 0.338 eV/atom.

The space group is P4/mbm (No. 127) and the conventional cell measures 6.7890, 6.7890 and 5.4850 Å, with angles of 90.00, 90.00 and 90.00 degrees. The inequivalent atoms are Rb at (0.1843, 0.3157, 0.0000), Cu at (0.1316, 0.6316, 0.5000) and Pd at (0.0000, 0.0000, 0.5000).

---

A relaxed RbCuPd2 crystal, computed with PBE.

Its magnetization is 0.00 μB/f.u. The value obtained for the energy above the lowest structure with this stoichiometry is 0.00 eV/f.u. The total energy is -3.4893 eV per atom. The value obtained for the energy of formation is 0.373 eV/atom.

The space group is I-42d (No. 122) and the conventional cell measures 5.1155, 5.1155 and 17.0104 Å, with angles of 90.00, 90.00 and 90.00 degrees. The inequivalent atoms are Rb at (0.0000, 0.0000, 0.0000), Cu at (0.0000, 0.0000, 0.5000) and Pd at (0.0571, 0.2500, 0.6250).

---

A relaxed RbCu3Pd crystal, computed with PBE.

Its magnetization is 0.00 μB/f.u. The value obtained for the energy above the lowest structure with this stoichiometry is 0.00 eV/f.u. The total energy is -3.1840 eV per atom. The value obtained for the energy of formation is 0.506 eV/atom.

The space group is Pm-3m (No. 221) and the conventional cell measures 4.8946, 4.8946 and 4.8946 Å, with angles of 90.00, 90.00 and 90.00 degrees. The inequivalent atoms are Rb at (0.0000, 0.0000, 0.0000), Cu at (0.0000, 0.5000, 0.5000) and Pd at (0.5000, 0.5000, 0.5000).

---

A relaxed RbCuPd3 crystal, computed with PBE.

Its magnetization is 0.00 μB/f.u. The value obtained for the energy above the lowest structure with this stoichiometry is 6.26 eV/f.u. The total energy is -2.4455 eV per atom. The value obtained for the energy of formation is 1.683 eV/atom.

The space group is Pm-3m (No. 221) and the conventional cell measures 5.1466, 5.1466 and 5.1466 Å, with angles of 90.00, 90.00 and 90.00 degrees. The inequivalent atoms are Rb at (0.0000, 0.0000, 0.0000), Cu at (0.5000, 0.5000, 0.5000) and Pd at (0.0000, 0.0000, 0.5000).

---

A relaxed Rb2Cu2Pd crystal, computed with PBE.

Its magnetization is 0.00 μB/f.u. The value obtained for the energy above the lowest structure with this stoichiometry is 0.31 eV/f.u. The total energy is -2.6640 eV per atom. The value obtained for the energy of formation is 0.400 eV/atom.

The space group is I4/mmm (No. 139) and the conventional cell measures 6.5973, 6.5973 and 7.3285 Å, with angles of 90.00, 90.00 and 90.00 degrees. The inequivalent atoms are Rb at (0.0000, 0.5000, 0.2500), Cu at (0.0000, 0.0000, 0.1600) and Pd at (0.0000, 0.0000, 0.5000).

---

A relaxed RbCu2Pd2 crystal, computed with PBE.

Its magnetization is 0.00 μB/f.u. The value obtained for the energy above the lowest structure with this stoichiometry is 0.25 eV/f.u. The total energy is -3.6739 eV per atom. The value obtained for the energy of formation is 0.235 eV/atom.

The space group is I4/mmm (No. 139) and the conventional cell measures 4.3595, 4.3595 and 10.6147 Å, with angles of 90.00, 90.00 and 90.00 degrees. The inequivalent atoms are Rb at (0.0000, 0.0000, 0.0000), Cu at (0.0000, 0.0000, 0.3785) and Pd at (0.0000, 0.5000, 0.2500).

---

A relaxed RbCu2Pd crystal, computed with PBE.

Its magnetization is 0.00 μB/f.u. The value obtained for the energy above the lowest structure with this stoichiometry is 0.00 eV/f.u. The total energy is -3.2616 eV per atom. The value obtained for the energy of formation is 0.327 eV/atom.

The space group is I4_1/amd (No. 141, origin choice 2) and the conventional cell measures 4.9730, 4.9730 and 17.2802 Å, with angles of 90.00, 90.00 and 90.00 degrees. The inequivalent atoms are Rb at (0.0000, 0.2500, 0.3750), Cu at (0.0000, 0.0000, 0.0000) and Pd at (0.0000, 0.2500, 0.8750).